Density functional theory data (PBE) for crystalline NaLiTlGe at its relaxed geometry.

Results
The calculation puts the total magnetization at 0.0 μB per formula unit. As for the space group: F-43m. The value obtained for the formation energy from the elements is -0.053 eV per atom.

```
NaLiTlGe
1.0
7.0045 0.0000 0.0000
0.0000 7.0045 0.0000
0.0000 0.0000 7.0045
Na Li Tl Ge
4 4 4 4
Direct
0.0000 0.0000 0.0000
0.0000 0.5000 0.5000
0.5000 0.0000 0.5000
0.5000 0.5000 0.0000
0.0000 0.0000 0.5000
0.0000 0.5000 0.0000
0.5000 0.0000 0.0000
0.5000 0.5000 0.5000
0.2500 0.2500 0.2500
0.2500 0.7500 0.7500
0.7500 0.2500 0.7500
0.7500 0.7500 0.2500
0.2500 0.2500 0.7500
0.2500 0.7500 0.2500
0.7500 0.2500 0.2500
0.7500 0.7500 0.7500
```